Entry 1:
Compound: SrPr2Ag2Ge2
Source: the Alexandria database
Functional: PBE
Structure: optimized geometry

Cell lengths 4.6724, 4.6724, 29.5394 Å; angles 90.00, 90.00, 120.00 degrees
Space group R-3m (No. 166, hexagonal axes)
Inequivalent atoms, fractional coordinates:
1 Sr 0.0000 0.0000 0.0000 x3
2 Pr 0.0000 0.0000 0.1284 x6
3 Ag 0.0000 0.0000 0.4046 x6
4 Ge 0.0000 0.0000 0.2530 x6

Calculated values
DOS(E_F)	0.323	states/eV/atom
calculated total energy	-4.189	eV per atom
ρ	6.52	g/cm3

---

Entry 2:
Compound: SrPrAgGe
Source: the Alexandria database
Functional: PBE
Structure: optimized geometry

Cell lengths 7.597, 7.597, 7.597 Å; angles 90.00, 90.00, 90.00 degrees
Space group F-43m (No. 216)
Inequivalent atoms, fractional coordinates:
1 Sr 0.000 0.000 0.000 x4
2 Pr 0.000 0.000 0.500 x4
3 Ag 0.250 0.250 0.750 x4
4 Ge 0.250 0.250 0.250 x4

Calculated values
DOS(E_F)	0.400	states/eV/atom
calculated total energy	-3.944	eV per atom
ρ	6.20	g/cm3

---

Entry 3:
Compound: Tb2PrAg2Ge2
Source: the Alexandria database
Functional: PBE
Structure: optimized geometry

Cell lengths 4.5959, 4.5959, 27.5603 Å; angles 90.00, 90.00, 120.00 degrees
Space group R-3m (No. 166, hexagonal axes)
Inequivalent atoms, fractional coordinates:
1 Tb 0.0000 0.0000 0.1286 x6
2 Pr 0.0000 0.0000 0.0000 x3
3 Ag 0.0000 0.0000 0.4045 x6
4 Ge 0.0000 0.0000 0.2561 x6

Calculated values
DOS(E_F)	0.449	states/eV/atom
calculated total energy	-4.570	eV per atom
ρ	8.10	g/cm3

---

Entry 4:
Compound: PrTmAgGe
Source: the Alexandria database
Functional: PBE
Structure: optimized geometry

Cell lengths 7.295, 7.295, 7.295 Å; angles 90.00, 90.00, 90.00 degrees
Space group F-43m (No. 216)
Inequivalent atoms, fractional coordinates:
1 Pr 0.000 0.000 0.000 x4
2 Tm 0.000 0.000 0.500 x4
3 Ag 0.250 0.250 0.750 x4
4 Ge 0.250 0.250 0.250 x4

Calculated values
DOS(E_F)	0.892	states/eV/atom
calculated total energy	-4.672	eV per atom
ρ	8.39	g/cm3

---

Entry 5:
Compound: Pr2YAg2Ge2
Source: the Alexandria database
Functional: PBE
Structure: optimized geometry

Cell lengths 4.5579, 4.5579, 29.0005 Å; angles 90.00, 90.00, 120.00 degrees
Space group R-3m (No. 166, hexagonal axes)
Inequivalent atoms, fractional coordinates:
1 Pr 0.0000 0.0000 0.1243 x6
2 Y 0.0000 0.0000 0.0000 x3
3 Ag 0.0000 0.0000 0.3902 x6
4 Ge 0.0000 0.0000 0.2667 x6

Calculated values
DOS(E_F)	0.515	states/eV/atom
calculated total energy	-4.850	eV per atom
ρ	6.99	g/cm3

---

Entry 6:
Compound: Pr2Zn3AgGe4
Source: the Alexandria database
Functional: PBE
Structure: optimized geometry

Cell lengths 4.396, 4.396, 10.482 Å; angles 90.00, 90.00, 90.00 degrees
Space group P-4m2 (No. 115)
Inequivalent atoms, fractional coordinates:
1 Pr 0.000 0.500 0.244 x2
2 Zn 0.000 0.500 0.873 x2
3 Zn 0.500 0.500 0.500 x1
4 Ag 0.000 0.000 0.500 x1
5 Ge 0.000 0.000 0.000 x1
6 Ge 0.000 0.500 0.642 x2
7 Ge 0.500 0.500 0.000 x1

Calculated values
DOS(E_F)	0.209	states/eV/atom
calculated total energy	-3.877	eV per atom
ρ	7.19	g/cm3

---

Entry 7:
Compound: PrZnAgGe2
Source: the Alexandria database
Functional: PBE
Structure: optimized geometry

Cell lengths 4.261, 4.261, 11.281 Å; angles 90.00, 90.00, 90.00 degrees
Space group I-4m2 (No. 119)
Inequivalent atoms, fractional coordinates:
1 Pr 0.000 0.000 0.000 x2
2 Zn 0.000 0.500 0.250 x2
3 Ag 0.000 0.500 0.750 x2
4 Ge 0.000 0.000 0.388 x4

Calculated values
DOS(E_F)	0.413	states/eV/atom
calculated total energy	-4.045	eV per atom
ρ	7.45	g/cm3

---

Entry 8:
Compound: Pr2Zn4AgGe3
Source: the Alexandria database
Functional: PBE
Structure: optimized geometry

Cell lengths 4.249, 4.249, 10.928 Å; angles 90.00, 90.00, 90.00 degrees
Space group P-4m2 (No. 115)
Inequivalent atoms, fractional coordinates:
1 Pr 0.000 0.500 0.247 x2
2 Zn 0.000 0.000 0.000 x1
3 Zn 0.000 0.500 0.636 x2
4 Zn 0.500 0.500 0.000 x1
5 Ag 0.000 0.000 0.500 x1
6 Ge 0.000 0.500 0.861 x2
7 Ge 0.500 0.500 0.500 x1

Calculated values
DOS(E_F)	0.326	states/eV/atom
calculated total energy	-3.552	eV per atom
ρ	7.31	g/cm3

---

Entry 9:
Compound: Ag2GePt2
Source: the Alexandria database
Functional: PBE
Structure: optimized geometry

Cell lengths 6.380, 6.380, 4.433 Å; angles 90.00, 90.00, 90.00 degrees
Space group P4/mbm (No. 127)
Inequivalent atoms, fractional coordinates:
1 Ag 0.159 0.341 0.000 x4
2 Ge 0.000 0.000 0.500 x2
3 Pt 0.148 0.648 0.500 x4

Calculated values
DOS(E_F)	0.504	states/eV/atom
calculated total energy	-4.591	eV per atom
ρ	12.49	g/cm3

---

Entry 10:
Compound: AgGe2Pt2
Source: the Alexandria database
Functional: PBE
Structure: optimized geometry

Cell lengths 7.386, 7.386, 3.135 Å; angles 90.00, 90.00, 90.00 degrees
Space group P4/mbm (No. 127)
Inequivalent atoms, fractional coordinates:
1 Ag 0.000 0.000 0.000 x2
2 Ge 0.157 0.343 0.500 x4
3 Pt 0.140 0.640 0.000 x4

Calculated values
DOS(E_F)	0.402	states/eV/atom
calculated total energy	-5.006	eV per atom
ρ	12.49	g/cm3

---

Entry 11:
Compound: Ag3GePt
Source: the Alexandria database
Functional: PBE
Structure: optimized geometry

Cell lengths 5.069, 5.069, 5.069 Å; angles 90.00, 90.00, 90.00 degrees
Space group Pm-3m (No. 221)
Inequivalent atoms, fractional coordinates:
1 Ag 0.000 0.000 0.500 x3
2 Ge 0.500 0.500 0.500 x1
3 Pt 0.000 0.000 0.000 x1

Calculated values
DOS(E_F)	0.404	states/eV/atom
calculated total energy	-2.972	eV per atom
ρ	7.54	g/cm3

---

Entry 12:
Compound: Ag2GePt
Source: the Alexandria database
Functional: PBE
Structure: optimized geometry

Cell lengths 2.8349, 2.8349, 30.8239 Å; angles 90.00, 90.00, 120.00 degrees
Space group R-3m (No. 166, hexagonal axes)
Inequivalent atoms, fractional coordinates:
1 Ag 0.0000 0.0000 0.0882 x6
2 Ge 0.0000 0.0000 0.5000 x3
3 Pt 0.0000 0.0000 0.0000 x3

Calculated values
DOS(E_F)	0.473	states/eV/atom
calculated total energy	-3.856	eV per atom
ρ	11.23	g/cm3

---

Entry 13:
Compound: AgGe6Pt12
Source: the Alexandria database
Functional: PBE
Structure: optimized geometry

Cell lengths 11.8113, 11.8113, 8.1198 Å; angles 90.00, 90.00, 120.00 degrees
Space group R-3m (No. 166, hexagonal axes)
Inequivalent atoms, fractional coordinates:
1 Ag 0.0000 0.0000 0.0000 x3
2 Ge 0.0517 0.5258 0.2531 x18
3 Pt 0.0000 0.3749 0.5000 x18
4 Pt 0.0783 0.1567 0.3063 x18

Calculated values
DOS(E_F)	0.406	states/eV/atom
calculated total energy	-5.664	eV per atom
ρ	14.65	g/cm3

---

Entry 14:
Compound: AgGe2Pt2
Source: the Alexandria database
Functional: PBE
Structure: optimized geometry

Cell lengths 5.074, 5.111, 8.487 Å; angles 82.97, 75.53, 60.28 degrees
Space group P-1 (No. 2)
Inequivalent atoms, fractional coordinates:
1 Ag 0.126 0.247 0.250 x2
2 Ge 0.205 0.711 0.999 x2
3 Ge 0.414 0.290 0.499 x2
4 Pt 0.215 0.072 0.750 x2
5 Pt 0.450 0.598 0.250 x2

Calculated values
DOS(E_F)	0.384	states/eV/atom
calculated total energy	-4.944	eV per atom
ρ	11.54	g/cm3

---

Entry 15:
Compound: Ag2GePt
Source: the Alexandria database
Functional: PBE
Structure: optimized geometry

Cell lengths 7.512, 7.512, 5.197 Å; angles 90.00, 90.00, 90.00 degrees
Space group I-42d (No. 122)
Inequivalent atoms, fractional coordinates:
1 Ag 0.234 0.250 0.125 x8
2 Ge 0.000 0.000 0.000 x4
3 Pt 0.000 0.000 0.500 x4

Calculated values
DOS(E_F)	0.280	states/eV/atom
calculated total energy	-3.883	eV per atom
ρ	10.95	g/cm3

---

Entry 16:
Compound: AgGePt4
Source: the Alexandria database
Functional: PBE
Structure: optimized geometry

Cell lengths 4.658, 5.252, 8.696 Å; angles 72.55, 77.43, 89.99 degrees
Space group P-1 (No. 2)
Inequivalent atoms, fractional coordinates:
1 Ag 0.250 0.160 0.000 x2
2 Ge 0.000 0.500 0.500 x1
3 Ge 0.500 0.000 0.500 x1
4 Pt 0.107 0.981 0.338 x2
5 Pt 0.170 0.543 0.191 x2
6 Pt 0.330 0.735 0.808 x2
7 Pt 0.393 0.320 0.662 x2

Calculated values
DOS(E_F)	0.423	states/eV/atom
calculated total energy	-5.406	eV per atom
ρ	16.15	g/cm3

---

Entry 17:
Compound: Ag3GePt
Source: the Alexandria database
Functional: PBE
Structure: optimized geometry

Cell lengths 4.757, 4.757, 4.757 Å; angles 90.00, 90.00, 90.00 degrees
Space group Pm-3m (No. 221)
Inequivalent atoms, fractional coordinates:
1 Ag 0.000 0.000 0.500 x3
2 Ge 0.000 0.000 0.000 x1
3 Pt 0.500 0.500 0.500 x1

Calculated values
DOS(E_F)	0.895	states/eV/atom
calculated total energy	-3.054	eV per atom
ρ	9.12	g/cm3

---

Entry 18:
Compound: AgGe2Pt2
Source: the Alexandria database
Functional: PBE
Structure: optimized geometry

Cell lengths 4.368, 4.368, 9.718 Å; angles 90.00, 90.00, 90.00 degrees
Space group I4/mmm (No. 139)
Inequivalent atoms, fractional coordinates:
1 Ag 0.000 0.000 0.000 x2
2 Ge 0.000 0.000 0.376 x4
3 Pt 0.000 0.500 0.250 x4

Calculated values
DOS(E_F)	0.432	states/eV/atom
calculated total energy	-5.001	eV per atom
ρ	11.52	g/cm3

---

Entry 19:
Compound: Pu2AgGe4Pt3
Source: the Alexandria database
Functional: PBE
Structure: optimized geometry

Cell lengths 4.348, 4.348, 10.275 Å; angles 90.00, 90.00, 90.00 degrees
Space group P-4m2 (No. 115)
Inequivalent atoms, fractional coordinates:
1 Pu 0.000 0.500 0.247 x2
2 Ag 0.000 0.000 0.500 x1
3 Ge 0.000 0.000 0.000 x1
4 Ge 0.000 0.500 0.639 x2
5 Ge 0.500 0.500 0.000 x1
6 Pt 0.000 0.500 0.877 x2
7 Pt 0.500 0.500 0.500 x1

Calculated values
DOS(E_F)	2.847	states/eV/atom
calculated total energy	-7.382	eV per atom
ρ	12.58	g/cm3

---

Entry 20:
Compound: RbAg2GePt
Source: the Alexandria database
Functional: PBE
Structure: optimized geometry

Cell lengths 5.408, 5.408, 4.660 Å; angles 90.00, 90.00, 90.00 degrees
Space group P4/mmm (No. 123)
Inequivalent atoms, fractional coordinates:
1 Rb 0.000 0.000 0.000 x1
2 Ag 0.000 0.500 0.500 x2
3 Ge 0.500 0.500 0.000 x1
4 Pt 0.500 0.500 0.500 x1

Calculated values
DOS(E_F)	0.324	states/eV/atom
calculated total energy	-3.509	eV per atom
ρ	6.93	g/cm3

---

Entry 21:
Compound: RbAgGePt
Source: the Alexandria database
Functional: PBE
Structure: optimized geometry

Cell lengths 4.051, 4.051, 13.266 Å; angles 90.00, 90.00, 90.00 degrees
Space group P4/nmm (No. 129, origin choice 2)
Inequivalent atoms, fractional coordinates:
1 Rb 0.250 0.250 0.229 x2
2 Ag 0.250 0.750 0.000 x2
3 Ge 0.250 0.250 0.613 x2
4 Pt 0.250 0.750 0.500 x2

Calculated values
DOS(E_F)	0.307	states/eV/atom
calculated total energy	-3.853	eV per atom
ρ	7.03	g/cm3

---

Entry 22:
Compound: Sm2AgGe4Pt3
Source: the Alexandria database
Functional: PBE
Structure: optimized geometry

Cell lengths 4.354, 4.354, 10.269 Å; angles 90.00, 90.00, 90.00 degrees
Space group P-4m2 (No. 115)
Inequivalent atoms, fractional coordinates:
1 Sm 0.000 0.500 0.249 x2
2 Ag 0.000 0.000 0.500 x1
3 Ge 0.000 0.000 0.000 x1
4 Ge 0.000 0.500 0.639 x2
5 Ge 0.500 0.500 0.000 x1
6 Pt 0.000 0.500 0.877 x2
7 Pt 0.500 0.500 0.500 x1

Calculated values
DOS(E_F)	0.501	states/eV/atom
calculated total energy	-5.685	eV per atom
ρ	10.96	g/cm3

---

Entry 23:
Compound: Sm2AgGe3Pt4
Source: the Alexandria database
Functional: PBE
Structure: optimized geometry

Cell lengths 4.302, 4.302, 10.576 Å; angles 90.00, 90.00, 90.00 degrees
Space group P-4m2 (No. 115)
Inequivalent atoms, fractional coordinates:
1 Sm 0.000 0.500 0.249 x2
2 Ag 0.500 0.500 0.000 x1
3 Ge 0.000 0.000 0.000 x1
4 Ge 0.000 0.500 0.627 x2
5 Pt 0.000 0.000 0.500 x1
6 Pt 0.000 0.500 0.854 x2
7 Pt 0.500 0.500 0.500 x1

Calculated values
DOS(E_F)	0.661	states/eV/atom
calculated total energy	-5.823	eV per atom
ρ	11.94	g/cm3

---

Entry 24:
Compound: SrAgGe2Pt5
Source: the Alexandria database
Functional: PBE
Structure: optimized geometry

Cell lengths 4.122, 4.122, 11.249 Å; angles 90.00, 90.00, 90.00 degrees
Space group P4/mmm (No. 123)
Inequivalent atoms, fractional coordinates:
1 Sr 0.000 0.000 0.000 x1
2 Ag 0.000 0.000 0.500 x1
3 Ge 0.500 0.500 0.215 x2
4 Pt 0.000 0.500 0.333 x4
5 Pt 0.500 0.500 0.000 x1

Calculated values
DOS(E_F)	0.554	states/eV/atom
calculated total energy	-5.241	eV per atom
ρ	11.44	g/cm3